A plane-wave DFT calculation with PBE with a Hubbard U was carried out for a relaxed CeNpCr2O8 crystal.

Output
Crystal system: orthorhombic
Total energy, eV per atom: -8.6185

Cell lengths 4.7562, 4.7559, 6.7934 Å; angles 90.00, 90.00, 89.70 degrees
Site moments in Bohr magnetons follow the coordinates.
Fractional positions:
O  0.3222  0.3211  0.5000  -0.06
Ce  0.0000  0.0000  0.5000  0.04
Cr  0.5000  0.5000  0.7491  2.99
Np  0.0000  0.0000  0.0000  1.31
O  0.2009  0.7980  0.2306  -0.05
O  0.3096  0.3086  0.0000  -0.09
O  0.2009  0.7980  0.7694  -0.05
O  0.7991  0.2020  0.7694  -0.05
O  0.6904  0.6914  0.0000  -0.09
O  0.7991  0.2020  0.2306  -0.05
Cr  0.5000  0.5000  0.2509  2.99
O  0.6778  0.6789  0.5000  -0.06